Here is a relaxed La4Te3N crystal from Alexandria. Energies are from PBE-GGA.

Cell: 6.3370 8.5138 10.5112 Å, 90.00 90.00 90.00°
Sites, in units of the cell vectors:
La1 0.0746 0.8678 0.0000
La2 0.6037 0.1322 0.0000
La3 0.0655 0.2613 0.2013
La4 0.5655 0.7387 0.2987
La5 0.1037 0.8678 0.5000
La6 0.5746 0.1322 0.5000
La7 0.5655 0.7387 0.7013
La8 0.0655 0.2613 0.7987
Te1 0.5792 0.7610 0.0000
Te2 0.0686 0.6487 0.2568
Te3 0.5686 0.3513 0.2432
Te4 0.0792 0.2390 0.5000
Te5 0.5686 0.3513 0.7568
Te6 0.0686 0.6487 0.7432
N1 0.9896 0.1475 0.0000
N2 0.4896 0.8525 0.5000

- energy relative to the elements, uncorrected (meV per atom) = -1315
- crystal system = orthorhombic